1.
# GGA-PBE Er2As2O5, optimized geometry
data_Er2As2O5
_cell_length_a 9.1951
_cell_length_b 3.7019
_cell_length_c 3.7019
_cell_angle_alpha 90.00
_cell_angle_beta 90.00
_cell_angle_gamma 90.00
_space_group_name_H-M_alt 'P 1'
_space_group_IT_number 1
loop_
_space_group_symop_operation_xyz
'x,y,z'
loop_
_atom_site_label
_atom_site_type_symbol
_atom_site_fract_x
_atom_site_fract_y
_atom_site_fract_z
_atom_site_occupancy
O1 O 0.1360 0.5000 0.0000 1
O2 O 0.1360 0.0000 0.5000 1
As1 As 0.5000 0.0000 0.0000 1
Er1 Er 0.2547 0.5000 0.5000 1
As2 As 0.0000 0.0000 0.0000 1
O3 O 0.8640 0.0000 0.5000 1
O4 O 0.5000 0.5000 0.5000 1
Er2 Er 0.7453 0.5000 0.5000 1
O5 O 0.8640 0.5000 0.0000 1
# Space-group type   No. 123
# Total magnetic moment   0.001 μB/cell
# Final energy   -6.631 eV/atom
# Calculated density   7.4 g/cm3

2.
# GGA-PBE TmNpTa, optimized geometry
data_TmNpTa
_cell_length_a 4.7372
_cell_length_b 4.7372
_cell_length_c 4.7372
_cell_angle_alpha 60.00
_cell_angle_beta 60.00
_cell_angle_gamma 60.00
_space_group_name_H-M_alt 'P 1'
_space_group_IT_number 1
loop_
_space_group_symop_operation_xyz
'x,y,z'
loop_
_atom_site_label
_atom_site_type_symbol
_atom_site_fract_x
_atom_site_fract_y
_atom_site_fract_z
_atom_site_occupancy
Tm1 Tm 0.7500 0.7500 0.7500 1
Np1 Np 0.0000 0.0000 0.0000 1
Ta1 Ta 0.2500 0.2500 0.2500 1
# Space-group type   No. 216
# Total magnetic moment   5.245 μB/cell
# E_form   1.46 eV/atom
# Calculated density   13.0 g/cm3

3.
# GGA-PBE K3Ta2S11, optimized geometry
data_K3Ta2S11
_cell_length_a 7.6963
_cell_length_b 8.8496
_cell_length_c 24.7784
_cell_angle_alpha 90.00
_cell_angle_beta 99.45
_cell_angle_gamma 90.00
_space_group_name_H-M_alt 'P 1'
_space_group_IT_number 1
loop_
_space_group_symop_operation_xyz
'x,y,z'
loop_
_atom_site_label
_atom_site_type_symbol
_atom_site_fract_x
_atom_site_fract_y
_atom_site_fract_z
_atom_site_occupancy
S1 S 0.9125 0.4142 0.0082 1
K1 K 0.7646 0.2452 0.6701 1
S2 S 0.3264 0.8794 0.0157 1
S3 S 0.0215 0.1365 0.9108 1
Ta1 Ta 0.1749 0.9622 0.1687 1
Ta2 Ta 0.1749 0.5378 0.6687 1
S4 S 0.9785 0.8635 0.0892 1
S5 S 0.5094 0.5159 0.0850 1
K2 K 0.2354 0.7452 0.8299 1
S6 S 0.4322 0.5845 0.5982 1
K3 K 0.7375 0.7113 0.1851 1
S7 S 0.5678 0.0845 0.9018 1
S8 S 0.0875 0.5858 0.9918 1
S9 S 0.0215 0.3635 0.4108 1
S10 S 0.4322 0.9155 0.0982 1
K4 K 0.3044 0.2398 0.5117 1
S11 S 0.7481 0.1793 0.3220 1
K5 K 0.2625 0.2113 0.3149 1
S12 S 0.7481 0.3207 0.8220 1
S13 S 0.0002 0.4748 0.2666 1
S14 S 0.6736 0.3794 0.4843 1
K6 K 0.7646 0.2548 0.1701 1
Ta3 Ta 0.8251 0.4622 0.3313 1
S15 S 0.3264 0.6206 0.5157 1
S16 S 0.5094 0.9841 0.5850 1
K7 K 0.3044 0.2602 0.0117 1
S17 S 0.5296 0.0267 0.7755 1
S18 S 0.4906 0.0159 0.4150 1
S19 S 0.5296 0.4733 0.2755 1
S20 S 0.9802 0.9029 0.9107 1
K8 K 0.7375 0.7887 0.6851 1
S21 S 0.0662 0.5468 0.1277 1
S22 S 0.0002 0.0252 0.7666 1
Ta4 Ta 0.2758 0.8263 0.5778 1
S23 S 0.9998 0.9748 0.2334 1
S24 S 0.9802 0.5971 0.4107 1
K9 K 0.2625 0.2887 0.8149 1
S25 S 0.3699 0.3183 0.6926 1
K10 K 0.6956 0.7602 0.4883 1
S26 S 0.2519 0.6793 0.1780 1
S27 S 0.9338 0.4532 0.8723 1
S28 S 0.9338 0.0468 0.3723 1
S29 S 0.0198 0.0971 0.0893 1
Ta5 Ta 0.2758 0.6737 0.0778 1
K11 K 0.2354 0.7548 0.3299 1
S30 S 0.9785 0.6365 0.5892 1
S31 S 0.0875 0.9142 0.4918 1
S32 S 0.2519 0.8207 0.6780 1
S33 S 0.6301 0.8183 0.8074 1
S34 S 0.5678 0.4155 0.4018 1
S35 S 0.3699 0.1817 0.1926 1
S36 S 0.0662 0.9532 0.6277 1
S37 S 0.4704 0.5267 0.7245 1
S38 S 0.4906 0.4841 0.9150 1
S39 S 0.9998 0.5252 0.7334 1
S40 S 0.0198 0.4029 0.5893 1
K12 K 0.6956 0.7398 0.9883 1
Ta6 Ta 0.7242 0.3263 0.9222 1
Ta7 Ta 0.7242 0.1737 0.4222 1
S41 S 0.6736 0.1206 0.9843 1
S42 S 0.6301 0.6817 0.3074 1
S43 S 0.4704 0.9733 0.2245 1
Ta8 Ta 0.8251 0.0378 0.8313 1
S44 S 0.9125 0.0858 0.5082 1
# Space-group type   No. 14
# Total magnetic moment   0.000 μB/cell
# Final energy   -5.379 eV/atom
# Calculated density   3.3 g/cm3

4.
# GGA-PBE Tm4PdAu3, optimized geometry
data_Tm4PdAu3
_cell_length_a 3.6700
_cell_length_b 4.6292
_cell_length_c 10.6960
_cell_angle_alpha 90.00
_cell_angle_beta 90.00
_cell_angle_gamma 90.00
_space_group_name_H-M_alt 'P 1'
_space_group_IT_number 1
loop_
_space_group_symop_operation_xyz
'x,y,z'
loop_
_atom_site_label
_atom_site_type_symbol
_atom_site_fract_x
_atom_site_fract_y
_atom_site_fract_z
_atom_site_occupancy
Tm1 Tm 0.5000 0.5000 0.3549 1
Pd1 Pd 0.5000 0.5000 0.0878 1
Au1 Au 0.0000 0.0000 0.4104 1
Au2 Au 0.0000 0.5000 0.5900 1
Tm2 Tm 0.0000 0.5000 0.8660 1
Tm3 Tm 0.5000 0.0000 0.6400 1
Au3 Au 0.5000 0.0000 0.9137 1
Tm4 Tm 0.0000 0.0000 0.1372 1
# Space-group type   No. 25
# Total magnetic moment   0.017 μB/cell
# E_form   -0.93 eV/atom
# Calculated density   12.5 g/cm3

5.
# GGA-PBE TmPbNO, optimized geometry
data_TmPbNO
_cell_length_a 5.7102
_cell_length_b 8.2213
_cell_length_c 5.6730
_cell_angle_alpha 90.00
_cell_angle_beta 90.00
_cell_angle_gamma 90.00
_space_group_name_H-M_alt 'P 1'
_space_group_IT_number 1
loop_
_space_group_symop_operation_xyz
'x,y,z'
loop_
_atom_site_label
_atom_site_type_symbol
_atom_site_fract_x
_atom_site_fract_y
_atom_site_fract_z
_atom_site_occupancy
N1 N 0.0785 0.1255 0.5477 1
Pb1 Pb 0.4831 0.1346 0.4650 1
Tm1 Tm 0.9941 0.3837 0.4705 1
O1 O 0.7523 0.5067 0.7191 1
O2 O 0.2523 0.4933 0.7191 1
N2 N 0.5785 0.8745 0.5477 1
N3 N 0.9215 0.8745 0.0477 1
Pb2 Pb 0.0169 0.1346 0.9650 1
Pb3 Pb 0.5169 0.8654 0.9650 1
O3 O 0.2477 0.4933 0.2191 1
Tm2 Tm 0.4941 0.6163 0.4705 1
Pb4 Pb 0.9831 0.8654 0.4650 1
Tm3 Tm 0.5059 0.3837 0.9706 1
Tm4 Tm 0.0059 0.6163 0.9706 1
N4 N 0.4215 0.1255 0.0477 1
O4 O 0.7477 0.5067 0.2191 1
# Space-group type   No. 29
# Total magnetic moment   0.001 μB/cell
# Final energy   -6.900 eV/atom
# Calculated density   10.1 g/cm3

6.
# GGA-PBE GdYCSe, optimized geometry
data_GdYCSe
_cell_length_a 3.7868
_cell_length_b 3.7868
_cell_length_c 13.3775
_cell_angle_alpha 90.00
_cell_angle_beta 90.00
_cell_angle_gamma 120.00
_space_group_name_H-M_alt 'P 1'
_space_group_IT_number 1
loop_
_space_group_symop_operation_xyz
'x,y,z'
loop_
_atom_site_label
_atom_site_type_symbol
_atom_site_fract_x
_atom_site_fract_y
_atom_site_fract_z
_atom_site_occupancy
C1 C 0.0000 0.0000 0.4996 1
Gd1 Gd 0.6667 0.3333 0.6000 1
Se1 Se 0.3333 0.6667 0.7516 1
Y1 Y 0.6667 0.3333 0.8988 1
Gd2 Gd 0.3333 0.6667 0.1000 1
Y2 Y 0.3333 0.6667 0.3988 1
Se2 Se 0.6667 0.3333 0.2516 1
C2 C 0.0000 0.0000 0.9996 1
# Space-group type   No. 186
# Total magnetic moment   0.002 μB/cell
# Final energy   -7.092 eV/atom
# Calculated density   6.7 g/cm3

7.
# GGA-PBE RbGdAgSe3, optimized geometry
data_RbGdAgSe3
_cell_length_a 8.0439
_cell_length_b 8.0439
_cell_length_c 10.8626
_cell_angle_alpha 90.00
_cell_angle_beta 90.00
_cell_angle_gamma 150.04
_space_group_name_H-M_alt 'P 1'
_space_group_IT_number 1
loop_
_space_group_symop_operation_xyz
'x,y,z'
loop_
_atom_site_label
_atom_site_type_symbol
_atom_site_fract_x
_atom_site_fract_y
_atom_site_fract_z
_atom_site_occupancy
Se1 Se 0.6266 0.3734 0.0486 1
Ag1 Ag 0.4651 0.5349 0.7500 1
Se2 Se 0.3734 0.6266 0.9514 1
Rb1 Rb 0.2503 0.7497 0.2500 1
Se3 Se 0.6266 0.3734 0.4514 1
Se4 Se 0.3734 0.6266 0.5486 1
Ag2 Ag 0.5349 0.4651 0.2500 1
Rb2 Rb 0.7497 0.2503 0.7500 1
Se5 Se 0.0711 0.9289 0.7500 1
Se6 Se 0.9289 0.0711 0.2500 1
Gd1 Gd 0.0000 0.0000 0.0000 1
Gd2 Gd 0.0000 0.0000 0.5000 1
# Space-group type   No. 63
# Total magnetic moment   0.087 μB/cell
# Final energy   -4.275 eV/atom
# Calculated density   5.6 g/cm3

8.
# GGA-PBE HfInAgSe3, optimized geometry
data_HfInAgSe3
_cell_length_a 7.3848
_cell_length_b 7.3848
_cell_length_c 10.5541
_cell_angle_alpha 90.00
_cell_angle_beta 90.00
_cell_angle_gamma 30.56
_space_group_name_H-M_alt 'P 1'
_space_group_IT_number 1
loop_
_space_group_symop_operation_xyz
'x,y,z'
loop_
_atom_site_label
_atom_site_type_symbol
_atom_site_fract_x
_atom_site_fract_y
_atom_site_fract_z
_atom_site_occupancy
Hf1 Hf 0.0000 0.0000 0.0000 1
Ag1 Ag 0.5634 0.5634 0.2500 1
Ag2 Ag 0.4366 0.4366 0.7500 1
Se1 Se 0.0659 0.0659 0.7500 1
Se2 Se 0.3682 0.3682 0.9761 1
Se3 Se 0.6318 0.6318 0.0239 1
In1 In 0.2595 0.2595 0.2500 1
Se4 Se 0.6318 0.6318 0.4761 1
In2 In 0.7405 0.7405 0.7500 1
Se5 Se 0.9341 0.9341 0.2500 1
Hf2 Hf 0.0000 0.0000 0.5000 1
Se6 Se 0.3682 0.3682 0.5239 1
# Space-group type   No. 63
# Total magnetic moment   0.009 μB/cell
# Final energy   -5.054 eV/atom
# Calculated density   7.2 g/cm3